# ZrTiHg2 (PBE, optimized geometry)
# * magnetization: 0.00 μB/cell
# * volume: 20.46 Å³ per atom
# * symmetry: Fm-3m (225)
# * E above lowest polymorph: 3.3 kJ per mole of atoms
# * uncorrected energy: -17.2 eV/cell
# * ΔE_f: -46 meV per atom
data_ZrTiHg2
_symmetry_space_group_name_H-M 'P 1'
_symmetry_Int_Tables_number 1
_symmetry_space_group_name_Hall 'P 1'
_cell_length_a 4.8732
_cell_length_b 4.8732
_cell_length_c 4.8732
_cell_angle_alpha 60.00
_cell_angle_beta 60.00
_cell_angle_gamma 60.00
loop_
_atom_site_label
_atom_site_type_symbol
_atom_site_fract_x
_atom_site_fract_y
_atom_site_fract_z
_atom_site_occupancy
Hg1 Hg 0.2500 0.2500 0.2500 1
Hg2 Hg 0.7500 0.7500 0.7500 1
Zr1 Zr 0.5000 0.5000 0.5000 1
Ti1 Ti 0.0000 0.0000 0.0000 1

=====

# Cs2UB2Se6 (PBE, optimized geometry)
# * magnetization: 2.00 μB/cell
# * volume: 32.49 Å³ per atom
# * symmetry: C2/m (12)
# * uncorrected energy: -54.8 eV/cell
data_Cs2UB2Se6
_symmetry_space_group_name_H-M 'P 1'
_symmetry_Int_Tables_number 1
_symmetry_space_group_name_Hall 'P 1'
_cell_length_a 7.2032
_cell_length_b 7.2335
_cell_length_c 8.9108
_cell_angle_alpha 113.53
_cell_angle_beta 90.00
_cell_angle_gamma 119.86
loop_
_atom_site_label
_atom_site_type_symbol
_atom_site_fract_x
_atom_site_fract_y
_atom_site_fract_z
_atom_site_occupancy
Cs1 Cs 0.7081 0.4161 0.1780 1
Cs2 Cs 0.2919 0.5839 0.8220 1
U1 U 0.5000 0.0000 0.5000 1
B1 B 0.9203 0.8406 0.6992 1
B2 B 0.0797 0.1594 0.3008 1
Se1 Se 0.7508 0.5015 0.6474 1
Se2 Se 0.2199 0.9746 0.2558 1
Se3 Se 0.2453 0.0254 0.7442 1
Se4 Se 0.7801 0.0254 0.7442 1
Se5 Se 0.7547 0.9746 0.2558 1
Se6 Se 0.2492 0.4985 0.3526 1

=====

# SrMg3Tl3 (PBE, optimized geometry)
# * magnetization: 0.00 μB/cell
# * volume: 30.96 Å³ per atom
# * symmetry: R-3 (148)
# * E above lowest polymorph: 0.0 kJ per mole of atoms
# * uncorrected energy: -27.5 eV/cell
# * ΔE_f: -26 meV per atom
data_SrMg3Tl3
_symmetry_space_group_name_H-M 'P 1'
_symmetry_Int_Tables_number 1
_symmetry_space_group_name_Hall 'P 1'
_cell_length_a 9.1210
_cell_length_b 9.1210
_cell_length_c 7.9957
_cell_angle_alpha 55.22
_cell_angle_beta 55.22
_cell_angle_gamma 60.00
loop_
_atom_site_label
_atom_site_type_symbol
_atom_site_fract_x
_atom_site_fract_y
_atom_site_fract_z
_atom_site_occupancy
Sr1 Sr 0.3325 0.3325 0.0024 1
Sr2 Sr 0.6675 0.6675 0.9976 1
Mg1 Mg 0.4466 0.7819 0.6513 1
Mg2 Mg 0.7819 0.1201 0.6513 1
Mg3 Mg 0.1201 0.4466 0.6513 1
Mg4 Mg 0.8799 0.5534 0.3487 1
Mg5 Mg 0.2181 0.8799 0.3487 1
Mg6 Mg 0.5534 0.2181 0.3487 1
Tl1 Tl 0.2440 0.6402 0.1714 1
Tl2 Tl 0.9443 0.2440 0.1714 1
Tl3 Tl 0.6402 0.9443 0.1714 1
Tl4 Tl 0.3598 0.0557 0.8286 1
Tl5 Tl 0.0557 0.7560 0.8286 1
Tl6 Tl 0.7560 0.3598 0.8286 1